No. 1
A relaxed structure of SrPuGe, computed with PBE-GGA.

Cell lengths 5.0599, 5.0599, 5.0599 Å; angles 60.00, 60.00, 60.00 degrees
Positions (direct):
Sr: 0.0000 0.0000 0.0000
Pu: 0.7500 0.7500 0.7500
Ge: 0.5000 0.5000 0.5000

Summary:
Its theoretical density is 7.33 g/cm3. The electronic total energy is -19.79 eV for the cell shown. As for the space-group type: No. 216. The value obtained for the total magnetization is 5.975 μB per formula unit.

=====

No. 2
A relaxed structure of Gd2DyGa3Ni3, computed with PBE-GGA.

Cell lengths 3.7812, 7.0787, 7.0787 Å; angles 120.01, 90.00, 90.00 degrees
Positions (direct):
Gd: 0.0000 0.2063 0.7937
Gd: 0.0000 0.7937 0.2063
Dy: 0.0000 0.6183 0.6183
Ga: 0.5000 0.2082 0.4518
Ga: 0.5000 0.4518 0.2082
Ga: 0.5000 0.9595 0.9595
Ni: 0.0000 0.2072 0.2072
Ni: 0.5000 0.5404 0.8715
Ni: 0.5000 0.8715 0.5404

Summary:
Its theoretical density is 8.73 g/cm3. The electronic total energy is -45.34 eV for the cell shown. As for the space-group type: No. 38. The value obtained for the total magnetization is 0.023 μB per formula unit.

=====

No. 3
A relaxed structure of MoS2, computed with PBE-GGA.

Cell lengths 5.0012, 5.0012, 5.0012 Å; angles 60.00, 60.00, 60.00 degrees
Positions (direct):
Mo: 0.1250 0.1250 0.1250
Mo: 0.8750 0.8750 0.8750
S: 0.0000 0.5000 0.5000
S: 0.5000 0.0000 0.5000
S: 0.5000 0.5000 0.0000
S: 0.5000 0.5000 0.5000

Summary:
Its theoretical density is 6.01 g/cm3. The electronic total energy is -30.03 eV for the cell shown. As for the space-group type: No. 227. The value obtained for the total magnetization is 0.051 μB per formula unit.

=====

No. 4
A relaxed structure of GdScAsO, computed with PBE-GGA.

Cell lengths 4.2215, 4.2215, 8.6381 Å; angles 90.00, 90.00, 90.00 degrees
Positions (direct):
Gd: 0.2500 0.7500 0.0000
Gd: 0.7500 0.2500 0.0000
Sc: 0.2500 0.2500 0.4221
Sc: 0.7500 0.7500 0.5779
As: 0.2500 0.2500 0.7785
As: 0.7500 0.7500 0.2215
O: 0.2500 0.7500 0.5000
O: 0.7500 0.2500 0.5000

Summary:
Its theoretical density is 6.32 g/cm3. The electronic total energy is -53.94 eV for the cell shown. As for the space-group type: No. 129. The value obtained for the total magnetization is 0.016 μB per formula unit.

=====

Copy entry 2 word for word.
A relaxed structure of Gd2DyGa3Ni3, computed with PBE-GGA.

Cell lengths 3.7812, 7.0787, 7.0787 Å; angles 120.01, 90.00, 90.00 degrees
Positions (direct):
Gd: 0.0000 0.2063 0.7937
Gd: 0.0000 0.7937 0.2063
Dy: 0.0000 0.6183 0.6183
Ga: 0.5000 0.2082 0.4518
Ga: 0.5000 0.4518 0.2082
Ga: 0.5000 0.9595 0.9595
Ni: 0.0000 0.2072 0.2072
Ni: 0.5000 0.5404 0.8715
Ni: 0.5000 0.8715 0.5404

Summary:
Its theoretical density is 8.73 g/cm3. The electronic total energy is -45.34 eV for the cell shown. As for the space-group type: No. 38. The value obtained for the total magnetization is 0.023 μB per formula unit.

=====

- What is the theoretical density in the third record?
  6.01 g/cm3

=====

- Look up the theoretical density of the second one.
  8.73 g/cm3

=====

- What is the formula in the first record?
  SrPuGe